Entry 1:
An optimized crystal structure of Al4Si6P3, computed with PBE-GGA.

```
data_Al4Si6P3
_cell_length_a 4.047
_cell_length_b 4.047
_cell_length_c 15.553
_cell_angle_alpha 90.00
_cell_angle_beta 90.00
_cell_angle_gamma 120.00
_space_group_name_H-M_alt 'P 1'
_space_group_IT_number 1
_space_group_name_Hall 'P 1'
loop_
_atom_site_label
_atom_site_type_symbol
_atom_site_fract_x
_atom_site_fract_y
_atom_site_fract_z
_atom_site_occupancy
Al1 Al 0.333 0.667 0.148 1
Al2 Al 0.333 0.667 0.757 1
Al3 Al 0.667 0.333 0.243 1
Al4 Al 0.667 0.333 0.852 1
Si1 Si 0.333 0.667 0.317 1
Si2 Si 0.333 0.667 0.475 1
Si3 Si 0.333 0.667 0.924 1
Si4 Si 0.667 0.333 0.076 1
Si5 Si 0.667 0.333 0.525 1
Si6 Si 0.667 0.333 0.683 1
P1 P 0.000 0.000 0.000 1
P2 P 0.000 0.000 0.376 1
P3 P 0.000 0.000 0.624 1
```

Computed properties:
- distance to the lowest polymorph of the same formula (meV per atom) = 180
- DFT total energy (eV/atom) = -4.58
- calculated density (Mg/m³) = 2.78
- raw formation energy (eV per atom) = 0.321

=====

Entry 2:
An optimized crystal structure of Ac8Rh3S3N, computed with PBE-GGA.

```
data_Ac8Rh3S3N
_cell_length_a 8.832
_cell_length_b 8.832
_cell_length_c 8.832
_cell_angle_alpha 57.68
_cell_angle_beta 57.68
_cell_angle_gamma 57.68
_space_group_name_H-M_alt 'P 1'
_space_group_IT_number 1
_space_group_name_Hall 'P 1'
loop_
_atom_site_label
_atom_site_type_symbol
_atom_site_fract_x
_atom_site_fract_y
_atom_site_fract_z
_atom_site_occupancy
Ac1 Ac 0.246 0.246 0.246 1
Ac2 Ac 0.258 0.730 0.730 1
Ac3 Ac 0.270 0.270 0.742 1
Ac4 Ac 0.270 0.742 0.270 1
Ac5 Ac 0.730 0.258 0.730 1
Ac6 Ac 0.730 0.730 0.258 1
Ac7 Ac 0.742 0.270 0.270 1
Ac8 Ac 0.754 0.754 0.754 1
Rh1 Rh 0.000 0.000 0.500 1
Rh2 Rh 0.000 0.500 0.000 1
Rh3 Rh 0.500 0.000 0.000 1
S1 S 0.000 0.500 0.500 1
S2 S 0.500 0.000 0.500 1
S3 S 0.500 0.500 0.000 1
N1 N 0.500 0.500 0.500 1
```

Computed properties:
- DFT total energy (eV/atom) = -6.17
- calculated density (Mg/m³) = 8.05
- raw formation energy (eV per atom) = -1.127

=====

Entry 3:
An optimized crystal structure of TiCoOs2, computed with PBE-GGA.

```
data_TiCoOs2
_cell_length_a 4.278
_cell_length_b 4.278
_cell_length_c 4.278
_cell_angle_alpha 60.00
_cell_angle_beta 60.00
_cell_angle_gamma 60.00
_space_group_name_H-M_alt 'P 1'
_space_group_IT_number 1
_space_group_name_Hall 'P 1'
loop_
_atom_site_label
_atom_site_type_symbol
_atom_site_fract_x
_atom_site_fract_y
_atom_site_fract_z
_atom_site_occupancy
Ti1 Ti 0.000 0.000 0.000 1
Co1 Co 0.500 0.500 0.500 1
Os1 Os 0.250 0.250 0.250 1
Os2 Os 0.750 0.750 0.750 1
```

Computed properties:
- calculated formation energy (kJ/mol of atoms) = -0.1
- DFT total energy (eV/atom) = -9.37
- calculated density (Mg/m³) = 14.61

=====

Entry 4:
An optimized crystal structure of SrYPa2S8, computed with PBE-GGA.

```
data_SrYPa2S8
_cell_length_a 6.397
_cell_length_b 8.410
_cell_length_c 6.400
_cell_angle_alpha 90.00
_cell_angle_beta 91.39
_cell_angle_gamma 90.00
_space_group_name_H-M_alt 'P 1'
_space_group_IT_number 1
_space_group_name_Hall 'P 1'
loop_
_atom_site_label
_atom_site_type_symbol
_atom_site_fract_x
_atom_site_fract_y
_atom_site_fract_z
_atom_site_occupancy
Sr1 Sr 0.000 0.000 0.000 1
Y1 Y 0.000 0.500 0.000 1
Pa1 Pa 0.500 0.250 0.500 1
Pa2 Pa 0.500 0.750 0.500 1
S1 S 0.214 0.269 0.210 1
S2 S 0.214 0.731 0.210 1
S3 S 0.310 0.500 0.688 1
S4 S 0.320 0.000 0.675 1
S5 S 0.680 0.000 0.325 1
S6 S 0.690 0.500 0.312 1
S7 S 0.786 0.269 0.790 1
S8 S 0.786 0.731 0.790 1
```

Computed properties:
- DFT total energy (eV/atom) = -6.57
- calculated density (Mg/m³) = 4.32
- raw formation energy (eV per atom) = -1.560

=====

Entry 5:
An optimized crystal structure of Rb2TmCuF6, computed with PBE-GGA.

```
data_Rb2TmCuF6
_cell_length_a 6.690
_cell_length_b 6.248
_cell_length_c 6.238
_cell_angle_alpha 64.79
_cell_angle_beta 57.68
_cell_angle_gamma 57.53
_space_group_name_H-M_alt 'P 1'
_space_group_IT_number 1
_space_group_name_Hall 'P 1'
loop_
_atom_site_label
_atom_site_type_symbol
_atom_site_fract_x
_atom_site_fract_y
_atom_site_fract_z
_atom_site_occupancy
Rb1 Rb 0.250 0.250 0.250 1
Rb2 Rb 0.750 0.750 0.750 1
Tm1 Tm 0.000 0.000 0.000 1
Cu1 Cu 0.500 0.500 0.500 1
F1 F 0.225 0.225 0.775 1
F2 F 0.225 0.775 0.225 1
F3 F 0.264 0.736 0.736 1
F4 F 0.736 0.264 0.264 1
F5 F 0.775 0.225 0.775 1
F6 F 0.775 0.775 0.225 1
```

Computed properties:
- DFT total energy (eV/atom) = -5.13
- calculated density (Mg/m³) = 4.71
- raw formation energy (eV per atom) = -2.958

=====

Entry 6:
An optimized crystal structure of SiTcRuC, computed with PBE-GGA.

```
data_SiTcRuC
_cell_length_a 3.955
_cell_length_b 3.955
_cell_length_c 5.074
_cell_angle_alpha 112.44
_cell_angle_beta 112.44
_cell_angle_gamma 42.26
_space_group_name_H-M_alt 'P 1'
_space_group_IT_number 1
_space_group_name_Hall 'P 1'
loop_
_atom_site_label
_atom_site_type_symbol
_atom_site_fract_x
_atom_site_fract_y
_atom_site_fract_z
_atom_site_occupancy
Si1 Si 0.000 0.000 0.000 1
Tc1 Tc 0.825 0.825 0.356 1
Ru1 Ru 0.643 0.643 0.748 1
C1 C 0.134 0.134 0.426 1
```

Computed properties:
- distance to the lowest polymorph of the same formula (meV per atom) = 46
- DFT total energy (eV/atom) = -8.55
- calculated density (Mg/m³) = 8.16
- raw formation energy (eV per atom) = 0.022

=====

Entry 7:
An optimized crystal structure of Ag4TeBr, computed with PBE-GGA.

```
data_Ag4TeBr
_cell_length_a 5.716
_cell_length_b 5.716
_cell_length_c 5.716
_cell_angle_alpha 60.00
_cell_angle_beta 60.00
_cell_angle_gamma 60.00
_space_group_name_H-M_alt 'P 1'
_space_group_IT_number 1
_space_group_name_Hall 'P 1'
loop_
_atom_site_label
_atom_site_type_symbol
_atom_site_fract_x
_atom_site_fract_y
_atom_site_fract_z
_atom_site_occupancy
Ag1 Ag 0.125 0.125 0.125 1
Ag2 Ag 0.125 0.125 0.624 1
Ag3 Ag 0.125 0.624 0.125 1
Ag4 Ag 0.624 0.125 0.125 1
Te1 Te 0.500 0.500 0.500 1
Br1 Br 0.750 0.750 0.750 1
```

Computed properties:
- distance to the lowest polymorph of the same formula (meV per atom) = 228
- DFT total energy (eV/atom) = -2.52
- calculated density (Mg/m³) = 8.03
- raw formation energy (eV per atom) = 0.179

=====

Entry 8:
An optimized crystal structure of Pu3ZnPd12, computed with PBE-GGA.

```
data_Pu3ZnPd12
_cell_length_a 4.116
_cell_length_b 4.116
_cell_length_c 16.116
_cell_angle_alpha 90.00
_cell_angle_beta 90.00
_cell_angle_gamma 90.00
_space_group_name_H-M_alt 'P 1'
_space_group_IT_number 1
_space_group_name_Hall 'P 1'
loop_
_atom_site_label
_atom_site_type_symbol
_atom_site_fract_x
_atom_site_fract_y
_atom_site_fract_z
_atom_site_occupancy
Pu1 Pu 0.000 0.000 0.000 1
Pu2 Pu 0.000 0.000 0.260 1
Pu3 Pu 0.000 0.000 0.740 1
Zn1 Zn 0.000 0.000 0.500 1
Pd1 Pd 0.000 0.500 0.127 1
Pd2 Pd 0.000 0.500 0.384 1
Pd3 Pd 0.000 0.500 0.616 1
Pd4 Pd 0.000 0.500 0.873 1
Pd5 Pd 0.500 0.000 0.127 1
Pd6 Pd 0.500 0.000 0.384 1
Pd7 Pd 0.500 0.000 0.616 1
Pd8 Pd 0.500 0.000 0.873 1
Pd9 Pd 0.500 0.500 0.000 1
Pd10 Pd 0.500 0.500 0.255 1
Pd11 Pd 0.500 0.500 0.500 1
Pd12 Pd 0.500 0.500 0.745 1
```

Computed properties:
- calculated formation energy (kJ/mol of atoms) = -36.4
- DFT total energy (eV/atom) = -7.04
- calculated density (Mg/m³) = 12.62

=====

Entry 9:
An optimized crystal structure of LaBeP3, computed with PBE-GGA.

```
data_LaBeP3
_cell_length_a 5.418
_cell_length_b 5.418
_cell_length_c 5.418
_cell_angle_alpha 90.00
_cell_angle_beta 90.00
_cell_angle_gamma 90.00
_space_group_name_H-M_alt 'P 1'
_space_group_IT_number 1
_space_group_name_Hall 'P 1'
loop_
_atom_site_label
_atom_site_type_symbol
_atom_site_fract_x
_atom_site_fract_y
_atom_site_fract_z
_atom_site_occupancy
La1 La 0.000 0.000 0.000 1
Be1 Be 0.500 0.500 0.500 1
P1 P 0.000 0.000 0.500 1
P2 P 0.000 0.500 0.000 1
P3 P 0.500 0.000 0.000 1
```

Computed properties:
- distance to the lowest polymorph of the same formula (meV per atom) = 1715
- calculated formation energy (kJ/mol of atoms) = 136.7
- DFT total energy (eV/atom) = -3.56
- calculated density (Mg/m³) = 2.51

=====

Entry 10:
An optimized crystal structure of HoGaPt6, computed with PBE-GGA.

```
data_HoGaPt6
_cell_length_a 4.061
_cell_length_b 4.061
_cell_length_c 7.956
_cell_angle_alpha 90.00
_cell_angle_beta 90.00
_cell_angle_gamma 90.00
_space_group_name_H-M_alt 'P 1'
_space_group_IT_number 1
_space_group_name_Hall 'P 1'
loop_
_atom_site_label
_atom_site_type_symbol
_atom_site_fract_x
_atom_site_fract_y
_atom_site_fract_z
_atom_site_occupancy
Ho1 Ho 0.000 0.000 0.000 1
Ga1 Ga 0.000 0.000 0.500 1
Pt1 Pt 0.000 0.500 0.264 1
Pt2 Pt 0.000 0.500 0.736 1
Pt3 Pt 0.500 0.000 0.264 1
Pt4 Pt 0.500 0.000 0.736 1
Pt5 Pt 0.500 0.500 0.000 1
Pt6 Pt 0.500 0.500 0.500 1
```

Computed properties:
- calculated formation energy (kJ/mol of atoms) = -71.5
- DFT total energy (eV/atom) = -6.22
- calculated density (Mg/m³) = 17.79

=====

Entry 11:
An optimized crystal structure of Er3Sc4Pb2, computed with PBE-GGA.

```
data_Er3Sc4Pb2
_cell_length_a 6.389
_cell_length_b 6.389
_cell_length_c 9.851
_cell_angle_alpha 122.70
_cell_angle_beta 122.70
_cell_angle_gamma 47.76
_space_group_name_H-M_alt 'P 1'
_space_group_IT_number 1
_space_group_name_Hall 'P 1'
loop_
_atom_site_label
_atom_site_type_symbol
_atom_site_fract_x
_atom_site_fract_y
_atom_site_fract_z
_atom_site_occupancy
Er1 Er 0.000 0.000 0.000 1
Er2 Er 0.338 0.338 0.435 1
Er3 Er 0.662 0.662 0.565 1
Sc1 Sc 0.041 0.041 0.682 1
Sc2 Sc 0.344 0.344 0.084 1
Sc3 Sc 0.656 0.656 0.916 1
Sc4 Sc 0.959 0.959 0.318 1
Pb1 Pb 0.338 0.338 0.756 1
Pb2 Pb 0.662 0.662 0.244 1
```

Computed properties:
- calculated formation energy (kJ/mol of atoms) = -21.3
- DFT total energy (eV/atom) = -5.38
- calculated density (Mg/m³) = 7.58

=====

Entry 12:
An optimized crystal structure of KTi2CrOs, computed with PBE-GGA.

```
data_KTi2CrOs
_cell_length_a 4.344
_cell_length_b 4.344
_cell_length_c 4.553
_cell_angle_alpha 90.00
_cell_angle_beta 90.00
_cell_angle_gamma 90.00
_space_group_name_H-M_alt 'P 1'
_space_group_IT_number 1
_space_group_name_Hall 'P 1'
loop_
_atom_site_label
_atom_site_type_symbol
_atom_site_fract_x
_atom_site_fract_y
_atom_site_fract_z
_atom_site_occupancy
K1 K 0.000 0.000 0.000 1
Ti1 Ti 0.000 0.500 0.000 1
Ti2 Ti 0.500 0.000 0.000 1
Cr1 Cr 0.500 0.500 0.500 1
Os1 Os 0.000 0.000 0.500 1
```

Computed properties:
- calculated formation energy (kJ/mol of atoms) = 256.6
- DFT total energy (eV/atom) = -4.89
- calculated density (Mg/m³) = 7.29